1.
The following is a DFT calculation (meta-GGA SCAN) of a crystal of BaHBr2 relaxed with PBEsol.

```
BaHBr2
1.0
-4.838 -0.875 2.179
2.369 -1.527 4.646
-0.089 7.239 2.425
Ba H Br
2 2 4
direct
0.000 0.500 0.000 Ba
0.500 0.000 0.500 Ba
0.443 0.000 0.969 H
0.557 0.000 0.031 H
0.005 0.000 0.750 Br
0.502 0.500 0.253 Br
0.498 0.500 0.747 Br
0.995 0.000 0.250 Br
```

Output
Electronic total energy = -178.6 eV per cell
SG = P2/m
Crystal system = monoclinic
Spin magnetization = 0.00 μB/cell

2.
The following is a DFT calculation (meta-GGA SCAN) of a crystal of Ba2H2Br relaxed with PBEsol.

```
Ba2H2Br
1.0
4.127 0.000 0.000
0.000 4.127 0.000
-2.063 -2.063 7.158
Br Ba H
1 2 2
direct
0.000 0.000 0.000 Br
0.646 0.646 0.292 Ba
0.354 0.354 0.708 Ba
0.750 0.250 0.500 H
0.250 0.750 0.500 H
```

Output
Electronic total energy = -110.7 eV per cell
SG = I4/mmm
Crystal system = tetragonal
Spin magnetization = 0.02 μB/cell

3.
The following is a DFT calculation (meta-GGA SCAN) of a crystal of BaH2BrN relaxed with PBEsol.

```
BaH2BrN
1.0
-2.327 4.129 -1.555
-3.531 -2.797 -2.142
-3.279 0.126 5.240
H Br Ba N
2 1 1 1
direct
0.000 0.500 0.000 H
0.500 0.000 0.000 H
0.000 0.000 0.500 Br
0.000 0.000 0.000 Ba
0.500 0.500 0.500 N
```

Output
Electronic total energy = -71.8 eV per cell
SG = P4/mmm
Crystal system = tetragonal
Spin magnetization = 4.04 μB/cell